# 1
Material: MgGeMoO6
Method: DFT, GGA+U
State: relaxed

Lattice parameters (Å, degrees): 4.6599 4.6599 8.9642 90.00 90.00 90.00
Positions (direct):
Mg  0.5000  0.5000  0.5039
Mg  0.0000  0.0000  0.0039
Ge  0.5000  0.5000  0.8322
Ge  0.0000  0.0000  0.3322
Mo  0.5000  0.5000  0.1721
Mo  0.0000  0.0000  0.6721
O  0.1838  0.8162  0.4975
O  0.8162  0.1838  0.4975
O  0.3162  0.3162  0.9975
O  0.6838  0.6838  0.9975
O  0.2006  0.7994  0.1790
O  0.7994  0.2006  0.1790
O  0.2994  0.2994  0.6790
O  0.7006  0.7006  0.6790
O  0.7933  0.2067  0.8193
O  0.2067  0.7933  0.8193
O  0.7067  0.7067  0.3193
O  0.2933  0.2933  0.3193

Output
SG: P4_2nm, No. 102
Total moment (μB/cell): 0.00
Energy (eV for the cell shown): -118.8

---

# 2
Material: Mg2GeMoO6
Method: DFT, GGA+U
State: relaxed

Lattice parameters (Å, degrees): 4.8876 5.2003 5.2003 90.00 90.00 90.00
Positions (direct):
Mg  0.9273  0.5000  0.0000
Mg  0.9273  0.0000  0.5000
Ge  0.6041  0.0000  0.0000
Mo  0.5568  0.5000  0.5000
O  0.7463  0.2436  0.2436
O  0.7463  0.2436  0.7564
O  0.1967  0.5000  0.5000
O  0.2492  0.0000  0.0000
O  0.7463  0.7564  0.7564
O  0.7463  0.7564  0.2436

Output
SG: P4mm, No. 99
Total moment (μB/cell): 0.00
Energy (eV for the cell shown): -62.3